Er2ThTl2Cd2 | Alexandria | GGA-PBE | optimized geometry; electronic total energy = -23.56 eV for the cell shown; calculated formation energy = -0.0644 eV/atom; M_tot = 0.02 μB/cell; volume = 189.6 Å³ per cell
1.0
2.5309 1.4612 8.5469
-2.5309 1.4612 8.5469
0.0000 -2.9224 8.5469
Er Th Tl Cd
2 1 2 2
Direct
0.1336 0.1336 0.1336
0.8664 0.8664 0.8664
0.0000 0.0000 0.0000
0.2693 0.2693 0.2693
0.7307 0.7307 0.7307
0.4325 0.4325 0.4325
0.5675 0.5675 0.5675